Entry 1:
The following is a DFT calculation (PBE) of crystalline AlCrSe2 at its relaxed geometry.

Geometry as CIF:
```
data_AlCrSe2
_chemical_formula_sum 'Al2 Cr2 Se4'
_cell_length_a 3.576
_cell_length_b 7.294
_cell_length_c 7.578
_cell_angle_alpha 90.00
_cell_angle_beta 90.00
_cell_angle_gamma 90.00
_space_group_name_H-M_alt 'I m m m'
_space_group_IT_number 71
_space_group_name_Hall '-I 2 2'
loop_
_atom_site_label
_atom_site_fract_x
_atom_site_fract_y
_atom_site_fract_z
Al1 0.000 0.000 0.000
Cr1 0.000 0.500 0.000
Se1 0.000 0.256 0.500
```

For the density of states at the Fermi level, the calculation gives 2.04 states/eV/cell. As for the formation energy from raw total energies: -0.071 eV per atom. Its energy above the most stable polymorph in this dataset is 313 meV per atom.


Entry 2:
The following is a DFT calculation (PBE) of crystalline Ca2Eu2In3Ge4 at its relaxed geometry.

Geometry as CIF:
```
data_Ca2Eu2In3Ge4
_chemical_formula_sum 'Ca4 Eu4 In6 Ge8'
_cell_length_a 17.044
_cell_length_b 4.538
_cell_length_c 7.540
_cell_angle_alpha 90.00
_cell_angle_beta 106.87
_cell_angle_gamma 90.00
_space_group_name_H-M_alt 'C 1 2/m 1'
_space_group_IT_number 12
_space_group_name_Hall '-C 2y'
loop_
_atom_site_label
_atom_site_fract_x
_atom_site_fract_y
_atom_site_fract_z
Ca1 0.076 0.000 0.368
Eu1 0.147 0.000 0.924
In1 0.000 0.500 0.000
In2 0.213 0.500 0.626
Ge1 0.053 0.500 0.659
Ge2 0.189 0.500 0.230
```

As for the energy relative to the elements: -522 meV per atom. For the density of states at the Fermi level, the calculation gives 33.76 states/eV/cell.


Entry 3:
The following is a DFT calculation (PBE) of crystalline NaAl2Rh2 at its relaxed geometry.

Geometry as CIF:
```
data_NaAl2Rh2
_chemical_formula_sum 'Na2 Al4 Rh4'
_cell_length_a 4.009
_cell_length_b 4.009
_cell_length_c 11.055
_cell_angle_alpha 90.00
_cell_angle_beta 90.00
_cell_angle_gamma 90.00
_space_group_name_H-M_alt 'I 4/m m m'
_space_group_IT_number 139
_space_group_name_Hall '-I 4 2'
loop_
_atom_site_label
_atom_site_fract_x
_atom_site_fract_y
_atom_site_fract_z
Na1 0.000 0.000 0.000
Al1 0.000 0.500 0.250
Rh1 0.000 0.000 0.381
```

As for the energy relative to the elements: -431 meV per atom. For the density of states at the Fermi level, the calculation gives 2.80 states/eV/cell. Its energy above the most stable polymorph in this dataset is 215 meV per atom.


Entry 4:
The following is a DFT calculation (PBE) of crystalline Cu2Tc2P at its relaxed geometry.

Geometry as CIF:
```
data_Cu2Tc2P
_chemical_formula_sum 'Cu4 Tc4 P2'
_cell_length_a 5.970
_cell_length_b 5.970
_cell_length_c 4.083
_cell_angle_alpha 90.00
_cell_angle_beta 90.00
_cell_angle_gamma 90.00
_space_group_name_H-M_alt 'P 4/m b m'
_space_group_IT_number 127
_space_group_name_Hall '-P 4 2ab'
loop_
_atom_site_label
_atom_site_fract_x
_atom_site_fract_y
_atom_site_fract_z
Cu1 0.156 0.344 0.000
Tc1 0.147 0.647 0.500
P1 0.000 0.000 0.500
```

As for the energy relative to the elements: 85 meV per atom. For the density of states at the Fermi level, the calculation gives 6.56 states/eV/cell. Its energy above the most stable polymorph in this dataset is 0 meV per atom.


Entry 5:
The following is a DFT calculation (PBE) of crystalline MnCrB2 at its relaxed geometry.

Geometry as CIF:
```
data_MnCrB2
_chemical_formula_sum 'Mn4 Cr4 B8'
_cell_length_a 3.374
_cell_length_b 3.374
_cell_length_c 14.796
_cell_angle_alpha 90.00
_cell_angle_beta 90.00
_cell_angle_gamma 90.00
_space_group_name_H-M_alt 'I 41/a m d'
_space_group_IT_number 141
loop_
_space_group_symop_operation_xyz
'x,y,z'
'-x,-y,-z'
'-y+1/4,x+3/4,z+1/4'
'y+1/4,-x+3/4,-z+1/4'
'-x+1/2,-y,z+1/2'
'x+1/2,y,-z+1/2'
'y+1/4,-x+1/4,z+3/4'
'-y+1/4,x+1/4,-z+3/4'
'x,-y,-z'
'-x,y,z'
'-y+1/4,-x+1/4,-z+3/4'
'y+1/4,x+1/4,z+3/4'
'-x+1/2,y,-z+1/2'
'x+1/2,-y,z+1/2'
'y+1/4,x+3/4,-z+1/4'
'-y+1/4,-x+3/4,z+1/4'
'x+1/2,y+1/2,z+1/2'
'-x+1/2,-y+1/2,-z+1/2'
'-y+3/4,x+1/4,z+3/4'
'y+3/4,-x+1/4,-z+3/4'
'-x,-y+1/2,z'
'x,y+1/2,-z'
'y+3/4,-x+3/4,z+1/4'
'-y+3/4,x+3/4,-z+1/4'
'x+1/2,-y+1/2,-z+1/2'
'-x+1/2,y+1/2,z+1/2'
'-y+3/4,-x+3/4,-z+1/4'
'y+3/4,x+3/4,z+1/4'
'-x,y+1/2,-z'
'x,-y+1/2,z'
'y+3/4,x+1/4,-z+3/4'
'-y+3/4,-x+1/4,z+3/4'
loop_
_atom_site_label
_atom_site_fract_x
_atom_site_fract_y
_atom_site_fract_z
Mn1 0.000 0.250 0.375
Cr1 0.000 0.250 0.875
B1 0.000 0.000 0.500
```

As for the energy relative to the elements: 477 meV per atom. For the density of states at the Fermi level, the calculation gives 12.40 states/eV/cell. Its energy above the most stable polymorph in this dataset is 964 meV per atom.


Entry 6:
The following is a DFT calculation (PBE) of crystalline Er4CuRu at its relaxed geometry.

Geometry as CIF:
```
data_Er4CuRu
_chemical_formula_sum 'Er4 Cu1 Ru1'
_cell_length_a 3.415
_cell_length_b 3.415
_cell_length_c 12.402
_cell_angle_alpha 90.00
_cell_angle_beta 90.00
_cell_angle_gamma 90.00
_space_group_name_H-M_alt 'P 4/m m m'
_space_group_IT_number 123
_space_group_name_Hall '-P 4 2'
loop_
_atom_site_label
_atom_site_fract_x
_atom_site_fract_y
_atom_site_fract_z
Er1 0.000 0.000 0.131
Er2 0.500 0.500 0.363
Cu1 0.000 0.000 0.500
Ru1 0.500 0.500 0.000
```

As for the energy relative to the elements: -246 meV per atom. For the density of states at the Fermi level, the calculation gives 5.23 states/eV/cell. Its energy above the most stable polymorph in this dataset is 0 meV per atom.


Entry 7:
The following is a DFT calculation (PBE) of crystalline Al2ZnPb at its relaxed geometry.

Geometry as CIF:
```
data_Al2ZnPb
_chemical_formula_sum 'Al2 Zn1 Pb1'
_cell_length_a 3.272
_cell_length_b 4.977
_cell_length_c 5.250
_cell_angle_alpha 90.00
_cell_angle_beta 90.00
_cell_angle_gamma 90.00
_space_group_name_H-M_alt 'P m m m'
_space_group_IT_number 47
_space_group_name_Hall '-P 2 2'
loop_
_atom_site_label
_atom_site_fract_x
_atom_site_fract_y
_atom_site_fract_z
Al1 0.000 0.000 0.000
Al2 0.500 0.500 0.000
Zn1 0.000 0.500 0.500
Pb1 0.500 0.000 0.500
```

As for the energy relative to the elements: 279 meV per atom. For the density of states at the Fermi level, the calculation gives 1.89 states/eV/cell. Its energy above the most stable polymorph in this dataset is 101 meV per atom.


Entry 8:
The following is a DFT calculation (PBE) of crystalline PmErMg2Hg4 at its relaxed geometry.

Geometry as CIF:
```
data_PmErMg2Hg4
_chemical_formula_sum 'Pm3 Er3 Mg6 Hg12'
_cell_length_a 5.0906
_cell_length_b 5.0906
_cell_length_c 25.0971
_cell_angle_alpha 90.00
_cell_angle_beta 90.00
_cell_angle_gamma 120.00
_space_group_name_H-M_alt 'R -3 m'
_space_group_IT_number 166
_space_group_name_Hall '-R 3 2"'
loop_
_atom_site_label
_atom_site_fract_x
_atom_site_fract_y
_atom_site_fract_z
Pm1 0.0000 0.0000 0.0000
Er1 0.0000 0.0000 0.5000
Mg1 0.0000 0.0000 0.2496
Hg1 0.0000 0.0000 0.1272
Hg2 0.0000 0.0000 0.3782
```

As for the energy relative to the elements: -460 meV per atom. For the density of states at the Fermi level, the calculation gives 7.26 states/eV/cell.


Entry 9:
The following is a DFT calculation (PBE) of crystalline Ca2ReN4 at its relaxed geometry.

Geometry as CIF:
```
data_Ca2ReN4
_chemical_formula_sum 'Ca8 Re4 N16'
_cell_length_a 7.685
_cell_length_b 9.152
_cell_length_c 6.135
_cell_angle_alpha 90.00
_cell_angle_beta 90.00
_cell_angle_gamma 90.00
_space_group_name_H-M_alt 'A m a 2'
_space_group_IT_number 40
_space_group_name_Hall 'A 2 -2a'
loop_
_atom_site_label
_atom_site_fract_x
_atom_site_fract_y
_atom_site_fract_z
Ca1 0.000 0.000 0.000
Ca2 0.250 0.170 0.555
Re1 0.250 0.284 0.052
N1 0.061 0.274 0.873
N2 0.250 0.105 0.187
N3 0.250 0.437 0.250
```

For the density of states at the Fermi level, the calculation gives 14.96 states/eV/cell. As for the formation energy from raw total energies: -0.496 eV per atom. Its energy above the most stable polymorph in this dataset is 0 meV per atom.


Entry 10:
The following is a DFT calculation (PBE) of crystalline Li2CuTc at its relaxed geometry.

Geometry as CIF:
```
data_Li2CuTc
_chemical_formula_sum 'Li4 Cu2 Tc2'
_cell_length_a 5.206
_cell_length_b 8.679
_cell_length_c 2.423
_cell_angle_alpha 90.00
_cell_angle_beta 90.00
_cell_angle_gamma 90.00
_space_group_name_H-M_alt 'C m m m'
_space_group_IT_number 65
_space_group_name_Hall '-C 2 2'
loop_
_atom_site_label
_atom_site_fract_x
_atom_site_fract_y
_atom_site_fract_z
Li1 0.250 0.250 0.000
Cu1 0.000 0.000 0.500
Tc1 0.000 0.500 0.500
```

As for the energy relative to the elements: 263 meV per atom. For the density of states at the Fermi level, the calculation gives 6.28 states/eV/cell. Its energy above the most stable polymorph in this dataset is 146 meV per atom.


Entry 11:
The following is a DFT calculation (PBE) of crystalline Pr2SmYHo at its relaxed geometry.

Geometry as CIF:
```
data_Pr2SmYHo
_chemical_formula_sum 'Pr8 Sm4 Y4 Ho4'
_cell_length_a 8.455
_cell_length_b 11.745
_cell_length_c 7.314
_cell_angle_alpha 90.00
_cell_angle_beta 90.00
_cell_angle_gamma 90.00
_space_group_name_H-M_alt 'C m c m'
_space_group_IT_number 63
_space_group_name_Hall '-C 2c 2'
loop_
_atom_site_label
_atom_site_fract_x
_atom_site_fract_y
_atom_site_fract_z
Pr1 0.194 0.000 0.000
Sm1 0.000 0.216 0.250
Y1 0.000 0.245 0.750
Ho1 0.000 0.477 0.250
```

As for the energy relative to the elements: 392 meV per atom. For the density of states at the Fermi level, the calculation gives 25.21 states/eV/cell.


Entry 12:
The following is a DFT calculation (PBE) of crystalline Th2Al at its relaxed geometry.

Geometry as CIF:
```
data_Th2Al
_chemical_formula_sum 'Th4 Al2'
_cell_length_a 4.049
_cell_length_b 4.049
_cell_length_c 10.252
_cell_angle_alpha 90.00
_cell_angle_beta 90.00
_cell_angle_gamma 90.00
_space_group_name_H-M_alt 'I 4/m m m'
_space_group_IT_number 139
_space_group_name_Hall '-I 4 2'
loop_
_atom_site_label
_atom_site_fract_x
_atom_site_fract_y
_atom_site_fract_z
Th1 0.000 0.000 0.152
Al1 0.000 0.000 0.500
```

As for the energy relative to the elements: -114 meV per atom. For the density of states at the Fermi level, the calculation gives 6.75 states/eV/cell.


Repeat the second record exactly.
The following is a DFT calculation (PBE) of crystalline Ca2Eu2In3Ge4 at its relaxed geometry.

Geometry as CIF:
```
data_Ca2Eu2In3Ge4
_chemical_formula_sum 'Ca4 Eu4 In6 Ge8'
_cell_length_a 17.044
_cell_length_b 4.538
_cell_length_c 7.540
_cell_angle_alpha 90.00
_cell_angle_beta 106.87
_cell_angle_gamma 90.00
_space_group_name_H-M_alt 'C 1 2/m 1'
_space_group_IT_number 12
_space_group_name_Hall '-C 2y'
loop_
_atom_site_label
_atom_site_fract_x
_atom_site_fract_y
_atom_site_fract_z
Ca1 0.076 0.000 0.368
Eu1 0.147 0.000 0.924
In1 0.000 0.500 0.000
In2 0.213 0.500 0.626
Ge1 0.053 0.500 0.659
Ge2 0.189 0.500 0.230
```

As for the energy relative to the elements: -522 meV per atom. For the density of states at the Fermi level, the calculation gives 33.76 states/eV/cell.


Question: What is the formula in the seventh record?
Answer: Al2ZnPb